[1]
{
  "formula": "DySeCl",
  "functional": "PBE",
  "state": "relaxed",
  "lattice": [[-1.8351, -2.4575, 2.3298], [-0.1498, -4.0576, -4.3981], [6.6048, 0.9253, 2.9948]],
  "species": ["Se", "Se", "Cl", "Cl", "Dy", "Dy"],
  "frac_coords": [[0.2029, 0.7029, 0.4057], [0.7971, 0.2971, 0.5943], [0.5000, 0.7589, 0.0000], [0.5000, 0.2411, 0.0000], [0.8561, 0.8561, 0.7121], [0.1439, 0.1439, 0.2879]],
  "space_group": "No. 71",
  "energy_ev_per_fu": -15.4,
  "vol_a3_per_cell": 147.2,
  "total_magnetization_mub_per_fu": 0.00,
  "raw_formation_energy_ev_per_atom": -1.82
}

***

[2]
{
  "formula": "Li2Mg2Sn5",
  "functional": "PBE",
  "state": "relaxed",
  "lattice": [[-0.9057, 6.8288, -1.4678], [-3.7608, 0.7429, 5.7769], [9.0810, 1.5383, 1.5536]],
  "species": ["Sn", "Sn", "Sn", "Sn", "Sn", "Sn", "Sn", "Sn", "Sn", "Sn", "Mg", "Mg", "Mg", "Mg", "Li", "Li", "Li", "Li"],
  "frac_coords": [[0.8382, 0.7891, 0.2531], [0.3382, 0.7109, 0.7469], [0.1618, 0.4640, 0.2531], [0.8382, 0.5360, 0.7469], [0.0000, 0.0000, 0.0000], [0.6618, 0.2891, 0.2531], [0.6618, 0.0360, 0.7469], [0.3382, 0.9640, 0.2531], [0.1618, 0.2109, 0.7469], [0.5000, 0.5000, 0.0000], [0.5000, 0.7233, 0.4466], [0.5000, 0.2767, 0.5534], [0.0000, 0.2233, 0.4466], [0.0000, 0.7767, 0.5534], [0.6349, 0.8683, 0.0000], [0.8651, 0.3683, 0.0000], [0.3651, 0.1317, 0.0000], [0.1349, 0.6317, 0.0000]],
  "space_group": "No. 64",
  "energy_ev_per_fu": -28.1,
  "vol_a3_per_cell": 423.5,
  "total_magnetization_mub_per_fu": 0.00,
  "formation_enthalpy_0k_mev_per_atom": -122
}

***

[3]
{
  "formula": "LiZr2Sc",
  "functional": "PBE",
  "state": "relaxed",
  "lattice": [[-1.1793, 1.0875, 2.7805], [-2.7651, -1.5254, -0.5761], [3.0184, -6.9874, 4.0132]],
  "species": ["Zr", "Zr", "Li", "Sc"],
  "frac_coords": [[0.5000, 0.5000, 0.2539], [0.0000, 0.0000, 0.0002], [0.0000, 0.0000, 0.5010], [0.5000, 0.5000, 0.7448]],
  "space_group": "No. 99",
  "energy_ev_per_fu": -25.0,
  "vol_a3_per_cell": 88.7,
  "total_magnetization_mub_per_fu": 0.00,
  "formation_enthalpy_0k_mev_per_atom": 96
}

***

[4]
{
  "formula": "Sm3DySn2",
  "functional": "PBE",
  "state": "relaxed",
  "lattice": [[7.2336, 0.0000, 0.0000], [0.0000, 7.8001, 0.0000], [-3.6168, -3.9001, 7.3578]],
  "species": ["Sn", "Sn", "Sn", "Sn", "Sm", "Sm", "Sm", "Sm", "Sm", "Sm", "Dy", "Dy"],
  "frac_coords": [[0.5395, 0.3582, 0.7165], [0.4605, 0.6418, 0.2835], [0.8230, 0.1418, 0.2835], [0.1770, 0.8582, 0.7165], [0.2105, 0.9605, 0.4210], [0.5000, 0.7500, 0.0000], [0.7895, 0.5395, 0.5790], [0.2105, 0.4605, 0.4210], [0.7895, 0.0395, 0.5790], [0.5000, 0.2500, 0.0000], [0.0000, 0.0000, 0.0000], [0.0000, 0.5000, 0.0000]],
  "space_group": "No. 72",
  "energy_ev_per_fu": -28.7,
  "vol_a3_per_cell": 415.2,
  "de_polymorph_ev_per_atom": 0.253,
  "total_magnetization_mub_per_fu": 0.00,
  "formation_enthalpy_0k_mev_per_atom": -328
}

***

[5]
{
  "formula": "KIn12Hg6",
  "functional": "PBE",
  "state": "relaxed",
  "lattice": [[-1.6248, 6.7057, -5.3350], [-6.1062, 0.1915, 6.2246], [7.6249, 1.6639, 3.8937]],
  "species": ["In", "In", "In", "In", "In", "In", "In", "In", "In", "In", "In", "In", "Hg", "Hg", "Hg", "Hg", "Hg", "Hg", "K"],
  "frac_coords": [[0.5000, 0.1083, 0.8917], [0.8917, 0.1083, 0.5000], [0.4214, 0.1898, 0.4214], [0.8917, 0.5000, 0.1083], [0.5000, 0.8917, 0.1083], [0.5786, 0.8102, 0.5786], [0.1898, 0.4214, 0.4214], [0.1083, 0.8917, 0.5000], [0.5786, 0.5786, 0.8102], [0.8102, 0.5786, 0.5786], [0.1083, 0.5000, 0.8917], [0.4214, 0.4214, 0.1898], [0.2312, 0.7247, 0.7247], [0.7247, 0.2312, 0.7247], [0.7688, 0.2753, 0.2753], [0.7247, 0.7247, 0.2312], [0.2753, 0.7688, 0.2753], [0.2753, 0.2753, 0.7688], [0.0000, 0.0000, 0.0000]],
  "space_group": "No. 166",
  "energy_ev_per_fu": -35.5,
  "vol_a3_per_cell": 555.3,
  "de_polymorph_ev_per_atom": 0.000,
  "total_magnetization_mub_per_fu": 0.00,
  "formation_enthalpy_0k_mev_per_atom": 12
}

***

[6]
{
  "formula": "SrMn2V",
  "functional": "PBE",
  "state": "relaxed",
  "lattice": [[-3.3925, -1.9055, 2.8990], [-3.6845, -2.5174, -1.9056], [-0.2354, -4.8059, 0.6263]],
  "species": ["Mn", "Mn", "Sr", "V"],
  "frac_coords": [[0.7500, 0.7500, 0.7500], [0.2500, 0.2500, 0.2500], [0.5000, 0.5000, 0.5000], [0.0000, 0.0000, 0.0000]],
  "space_group": "No. 225",
  "energy_ev_per_fu": -26.3,
  "vol_a3_per_cell": 80.8,
  "de_polymorph_ev_per_atom": 0.000,
  "total_magnetization_mub_per_fu": 3.93,
  "formation_enthalpy_0k_mev_per_atom": 717
}